A plane-wave DFT calculation with PBE was carried out for Tm12ThPb7 after structural relaxation.

a = 9.294 Å, b = 9.294 Å, c = 9.294 Å
α = 110.23°, β = 110.23°, γ = 110.23°
Fractional positions:
Tm (0.502, 0.169, 0.502)
Tm (0.169, 0.502, 0.502)
Tm (0.278, 0.722, 0.000)
Tm (0.498, 0.498, 0.831)
Tm (0.722, 0.000, 0.278)
Tm (0.000, 0.722, 0.278)
Tm (0.000, 0.278, 0.722)
Tm (0.722, 0.278, 0.000)
Tm (0.498, 0.831, 0.498)
Tm (0.502, 0.502, 0.169)
Tm (0.831, 0.498, 0.498)
Tm (0.278, 0.000, 0.722)
Th (0.000, 0.000, 0.000)
Pb (0.438, 0.132, 0.132)
Pb (0.132, 0.132, 0.438)
Pb (0.500, 0.500, 0.500)
Pb (0.868, 0.562, 0.868)
Pb (0.562, 0.868, 0.868)
Pb (0.868, 0.868, 0.562)
Pb (0.132, 0.438, 0.132)

***

A plane-wave DFT calculation with PBE was carried out for TmTh2Pb4 after structural relaxation.

a = 3.576 Å, b = 6.057 Å, c = 11.061 Å
α = 107.03°, β = 99.30°, γ = 90.00°
Fractional positions:
Pb (0.383, 0.711, 0.767)
Pb (0.111, 0.765, 0.222)
Pb (0.617, 0.289, 0.233)
Pb (0.889, 0.235, 0.778)
Th (0.750, 0.753, 0.500)
Th (0.250, 0.247, 0.500)
Tm (0.000, 0.000, 0.000)

***

A plane-wave DFT calculation with PBE was carried out for TmTh3Pb2 after structural relaxation.

a = 6.526 Å, b = 6.493 Å, c = 10.036 Å
α = 108.87°, β = 108.97°, γ = 90.00°
Fractional positions:
Pb (0.895, 0.637, 0.273)
Pb (0.379, 0.137, 0.273)
Pb (0.621, 0.863, 0.727)
Pb (0.105, 0.363, 0.727)
Tm (0.000, 0.250, 0.000)
Tm (0.000, 0.750, 0.000)
Th (0.925, 0.178, 0.356)
Th (0.500, 0.250, 0.000)
Th (0.500, 0.750, 0.000)
Th (0.432, 0.678, 0.356)
Th (0.075, 0.822, 0.644)
Th (0.568, 0.322, 0.644)

***

A plane-wave DFT calculation with PBE was carried out for Tm2ThPb2 after structural relaxation.

a = 4.846 Å, b = 6.723 Å, c = 9.585 Å
α = 90.00°, β = 104.64°, γ = 90.00°
Fractional positions:
Pb (0.217, 0.119, 0.433)
Pb (0.431, 0.980, 0.863)
Pb (0.783, 0.619, 0.567)
Pb (0.569, 0.480, 0.137)
Tm (0.177, 0.577, 0.355)
Tm (0.988, 0.730, 0.977)
Tm (0.823, 0.077, 0.645)
Tm (0.012, 0.230, 0.023)
Th (0.380, 0.460, 0.761)
Th (0.620, 0.960, 0.239)

***

A plane-wave DFT calculation with PBE was carried out for Tm2ThPb9 after structural relaxation.

a = 4.889 Å, b = 4.889 Å, c = 14.581 Å
α = 90.00°, β = 90.00°, γ = 90.00°
Fractional positions:
Pb (0.500, 0.500, 0.000)
Pb (0.500, 0.500, 0.664)
Pb (0.500, 0.000, 0.500)
Pb (0.000, 0.500, 0.170)
Pb (0.500, 0.000, 0.830)
Pb (0.000, 0.500, 0.500)
Pb (0.500, 0.500, 0.336)
Pb (0.500, 0.000, 0.170)
Pb (0.000, 0.500, 0.830)
Tm (0.000, 0.000, 0.327)
Tm (0.000, 0.000, 0.673)
Th (0.000, 0.000, 0.000)

***

A plane-wave DFT calculation with PBE was carried out for Tm5ThPb4 after structural relaxation.

a = 5.093 Å, b = 6.499 Å, c = 10.550 Å
α = 119.87°, β = 103.97°, γ = 90.00°
Fractional positions:
Pb (0.923, 0.621, 0.846)
Pb (0.296, 0.869, 0.592)
Pb (0.704, 0.131, 0.408)
Pb (0.077, 0.379, 0.154)
Tm (0.113, 0.920, 0.226)
Tm (0.310, 0.407, 0.620)
Tm (0.887, 0.080, 0.774)
Tm (0.500, 0.500, 0.000)
Tm (0.690, 0.593, 0.380)
Th (0.500, 0.000, 0.000)

***

A plane-wave DFT calculation with PBE was carried out for Tm7ThPb4 after structural relaxation.

a = 5.808 Å, b = 10.003 Å, c = 7.121 Å
α = 79.66°, β = 65.93°, γ = 73.12°
Fractional positions:
Th (0.000, 0.000, 0.000)
Tm (0.049, 0.630, 0.271)
Tm (0.951, 0.370, 0.729)
Tm (0.214, 0.098, 0.474)
Tm (0.340, 0.570, 0.749)
Tm (0.500, 0.000, 0.000)
Tm (0.660, 0.430, 0.251)
Tm (0.786, 0.902, 0.526)
Pb (0.712, 0.678, 0.897)
Pb (0.419, 0.778, 0.384)
Pb (0.581, 0.222, 0.616)
Pb (0.288, 0.322, 0.103)

***

A plane-wave DFT calculation with PBE was carried out for TmTh3Pb5 after structural relaxation.

a = 6.550 Å, b = 9.712 Å, c = 9.712 Å
α = 120.00°, β = 90.00°, γ = 90.00°
Fractional positions:
Th (0.250, 0.616, 0.000)
Th (0.750, 0.000, 0.384)
Th (0.250, 0.000, 0.616)
Th (0.750, 0.384, 0.000)
Th (0.250, 0.384, 0.384)
Th (0.750, 0.616, 0.616)
Pb (0.750, 0.000, 0.725)
Pb (0.000, 0.667, 0.333)
Pb (0.250, 0.000, 0.275)
Pb (0.250, 0.275, 0.000)
Pb (0.750, 0.725, 0.000)
Pb (0.000, 0.333, 0.667)
Pb (0.500, 0.667, 0.333)
Pb (0.750, 0.275, 0.275)
Pb (0.250, 0.725, 0.725)
Pb (0.500, 0.333, 0.667)
Tm (0.000, 0.000, 0.000)
Tm (0.500, 0.000, 0.000)

***

For reference, formation energy by record: -0.20 -0.13 -0.21 -0.30 -0.22 -0.36 0.02 -0.36 eV per atom.